Tl2S13: relaxed, PBE.

Summary:
- Electronic total energy: -50.96 eV for the cell shown

abc: 5.006 5.006 19.110
angles: 82.47 82.47 60.00
Site moments in Bohr magnetons follow the coordinates.
Sites, in units of the cell vectors:
S 0.801 0.297 0.605  0.00
S 0.580 0.035 0.804  0.12
S 0.035 0.580 0.804  0.12
S 0.420 0.420 0.196  0.12
S 0.420 0.965 0.196  0.12
S 0.965 0.420 0.196  0.12
S 0.703 0.199 0.395  0.00
S 0.580 0.580 0.804  0.12
Tl 0.644 0.644 0.067  0.00
S 0.500 0.500 0.500  -0.01
S 0.703 0.703 0.395  0.00
S 0.199 0.703 0.395  0.00
Tl 0.356 0.356 0.933  0.00
S 0.297 0.297 0.605  0.00
S 0.297 0.801 0.605  0.00

---

TlS: relaxed, PBE.

Summary:
- Electronic total energy: -13.69 eV for the cell shown

abc: 4.288 4.288 5.520
angles: 90.00 90.00 90.00
Sites, in units of the cell vectors:
S 0.500 0.500 0.000
Tl 0.500 0.500 0.500
Tl 0.000 0.000 0.000
S 0.000 0.000 0.500

---

Tl4S3: relaxed, PBE.

Summary:
- Offset from the most stable computed form: 0.0000 eV per atom

abc: 13.097 8.111 8.287
angles: 76.45 90.00 90.00
Sites, in units of the cell vectors:
S 0.248 0.742 0.496
Tl 0.291 0.914 0.804
Tl 0.965 0.222 0.091
Tl 0.003 0.773 0.469
S 0.837 0.920 0.960
Tl 0.724 0.961 0.706
Tl 0.776 0.461 0.706
Tl 0.276 0.039 0.294
Tl 0.791 0.586 0.196
Tl 0.035 0.778 0.909
S 0.252 0.242 0.496
S 0.163 0.080 0.040
S 0.028 0.543 0.240
S 0.663 0.420 0.960
Tl 0.465 0.278 0.909
Tl 0.209 0.414 0.804
S 0.972 0.457 0.760
S 0.337 0.580 0.040
S 0.528 0.957 0.760
Tl 0.224 0.539 0.294
Tl 0.997 0.227 0.531
Tl 0.709 0.086 0.196
S 0.752 0.258 0.504
Tl 0.535 0.722 0.091
S 0.472 0.043 0.240
Tl 0.497 0.273 0.469
Tl 0.503 0.727 0.531
S 0.748 0.758 0.504

---

TlS: relaxed, PBE.

Summary:
- Electronic total energy: -13.73 eV for the cell shown

abc: 4.005 4.002 7.832
angles: 105.00 104.81 90.00
Sites, in units of the cell vectors:
Tl 0.155 0.154 0.310
S 0.428 0.430 0.857
Tl 0.845 0.846 0.690
S 0.572 0.570 0.143

---

TlS3: relaxed, PBE.

Summary:
- Electronic total energy: -13.50 eV for the cell shown

abc: 3.921 3.921 5.424
angles: 90.00 90.00 90.00
Sites, in units of the cell vectors:
S 0.500 0.334 0.000
S 0.500 0.333 0.500
S 0.000 0.832 0.500
Tl 0.000 0.834 0.000

---

Tl6S5: relaxed, PBE.

Summary:
- Electronic total energy: -37.04 eV for the cell shown

abc: 7.065 7.331 7.033
angles: 84.16 77.81 61.19
Sites, in units of the cell vectors:
Tl 0.106 0.345 0.727
S 0.678 0.644 0.000
Tl 0.765 0.000 0.787
Tl 0.894 0.655 0.273
S 0.168 0.663 0.500
Tl 0.452 0.655 0.727
Tl 0.235 0.000 0.213
S 0.832 0.337 0.500
S 0.322 0.356 0.000
Tl 0.548 0.345 0.273
S 0.500 0.000 0.500

---

TlS: relaxed, PBE.

Summary:
- Electronic total energy: -6.38 eV for the cell shown

abc: 3.598 3.598 3.598
angles: 90.00 90.00 90.00
Sites, in units of the cell vectors:
Tl 0.500 0.500 0.500
S 0.000 0.000 0.000

---

Tl3S2: relaxed, PBE.

Summary:
- Offset from the most stable computed form: 0.1077 eV per atom

abc: 7.725 7.725 7.693
angles: 59.87 59.87 60.00
Sites, in units of the cell vectors:
Tl 0.036 0.750 0.750
Tl 0.536 0.964 0.250
S 0.136 0.136 0.591
S 0.364 0.364 0.909
Tl 0.464 0.036 0.750
S 0.636 0.636 0.091
Tl 0.750 0.464 0.750
S 0.864 0.864 0.409
Tl 0.964 0.250 0.250
Tl 0.250 0.536 0.250

---

TlS: relaxed, PBE.

Summary:
- Electronic total energy: -26.71 eV for the cell shown

abc: 6.460 6.460 6.460
angles: 90.00 90.00 90.00
Sites, in units of the cell vectors:
S 0.750 0.250 0.750
S 0.750 0.750 0.250
Tl 0.500 0.000 0.500
Tl 0.500 0.500 0.000
Tl 0.000 0.000 0.000
S 0.250 0.750 0.750
Tl 0.000 0.500 0.500
S 0.250 0.250 0.250

---

Tl5S4: relaxed, PBE.

Summary:
- Electronic total energy: -29.57 eV for the cell shown

abc: 4.091 8.718 8.718
angles: 86.84 76.43 76.43
Sites, in units of the cell vectors:
Tl 0.603 0.642 0.152
S 0.799 0.292 0.110
S 0.909 0.890 0.292
S 0.201 0.708 0.890
Tl 0.245 0.152 0.358
Tl 0.000 0.000 0.000
Tl 0.397 0.358 0.848
S 0.091 0.110 0.708
Tl 0.755 0.848 0.642

---

TlS3: relaxed, PBE.

Summary:
- Electronic total energy: -29.67 eV for the cell shown

abc: 6.259 6.258 6.469
angles: 90.01 90.00 91.56
Sites, in units of the cell vectors:
Tl 0.739 0.739 0.250
Tl 0.261 0.261 0.750
S 0.299 0.299 0.250
S 0.613 0.242 0.250
S 0.387 0.758 0.750
S 0.701 0.701 0.750
S 0.242 0.614 0.250
S 0.758 0.386 0.750

---

Tl3S: relaxed, PBE.

Summary:
- Electronic total energy: -11.63 eV for the cell shown

abc: 6.088 6.088 6.088
angles: 134.65 134.65 66.07
Sites, in units of the cell vectors:
Tl 0.750 0.250 0.500
Tl 0.250 0.750 0.500
S 0.000 0.000 0.000
Tl 0.500 0.500 0.000

---

Tl4S3: relaxed, PBE.

Summary:
- Offset from the most stable computed form: 0.0711 eV per atom

abc: 4.342 7.624 7.794
angles: 115.95 106.17 90.00
Sites, in units of the cell vectors:
Tl 0.875 0.600 0.750
S 0.311 0.351 0.622
S 0.000 0.000 0.000
Tl 0.652 0.018 0.304
Tl 0.348 0.982 0.696
Tl 0.125 0.400 0.250
S 0.689 0.649 0.378

---

TlS: relaxed, PBE.

Summary:
- Electronic total energy: -54.30 eV for the cell shown

abc: 12.005 12.005 4.154
angles: 90.00 90.00 90.00
Sites, in units of the cell vectors:
Tl 0.134 0.241 0.000
Tl 0.866 0.759 0.000
S 0.742 0.635 0.500
Tl 0.776 0.427 0.500
Tl 0.759 0.134 0.000
Tl 0.224 0.573 0.500
S 0.886 0.362 0.000
S 0.114 0.638 0.000
S 0.362 0.114 0.000
Tl 0.427 0.224 0.500
Tl 0.241 0.866 0.000
S 0.365 0.742 0.500
Tl 0.573 0.776 0.500
S 0.638 0.886 0.000
S 0.258 0.365 0.500
S 0.635 0.258 0.500